## Dy4NiSn2 (PBE-GGA)

Data for a relaxed structure of Dy4NiSn2.

POSCAR file:
```
Dy4NiSn2
1.0
4.500 0.000 0.000
0.000 8.534 -0.803
-2.250 -5.073 5.330
Dy Ni Sn
4 1 2
Direct
0.072 0.793 0.144 Dy
0.332 0.727 0.664 Dy
0.928 0.207 0.856 Dy
0.668 0.273 0.336 Dy
0.000 0.000 0.000 Ni
0.647 0.634 0.295 Sn
0.353 0.366 0.705 Sn
```

Output
Crystal system: monoclinic
Space-group type: No. 12
Formation energy from the elements, eV per atom: -0.545
Total magnetic moment, μB per formula unit: 0.000